Record 1
An optimized crystal structure of PdRhN3. Source: the Alexandria database, functional PBE-GGA.

The structure in POSCAR format:
```
PdRhN3
1.0
3.873 0.000 0.000
0.000 3.873 0.000
0.000 0.000 3.873
Pd Rh N
1 1 3
Direct
0.000 0.000 0.000 Pd
0.500 0.500 0.500 Rh
0.000 0.000 0.500 N
0.000 0.500 0.000 N
0.500 0.000 0.000 N
```

Values from the calculation:
Energy relative to the elements, uncorrected: 2.286 eV/atom

Record 2
An optimized crystal structure of GdPd2Au. Source: the Alexandria database, functional PBE-GGA.

The structure in POSCAR format:
```
GdPd2Au
1.0
4.265 0.000 0.000
0.000 4.265 0.000
0.000 0.000 4.073
Gd Pd Au
1 2 1
Direct
0.000 0.000 0.000 Gd
0.000 0.500 0.500 Pd
0.500 0.000 0.500 Pd
0.500 0.500 0.000 Au
```

Values from the calculation:
Formation energy: -0.8050 eV per atom
Energy above the most stable polymorph in this dataset: 0 meV per atom

Record 3
An optimized crystal structure of Pr15Nd4Dy. Source: the Alexandria database, functional PBE-GGA.

The structure in POSCAR format:
```
Pr15Nd4Dy
1.0
5.238 0.000 0.000
0.000 5.238 0.000
0.000 0.000 26.120
Pr Nd Dy
15 4 1
Direct
0.000 0.000 0.000 Pr
0.000 0.000 0.199 Pr
0.000 0.000 0.400 Pr
0.000 0.000 0.600 Pr
0.000 0.000 0.801 Pr
0.000 0.500 0.099 Pr
0.000 0.500 0.299 Pr
0.000 0.500 0.500 Pr
0.000 0.500 0.701 Pr
0.000 0.500 0.901 Pr
0.500 0.000 0.099 Pr
0.500 0.000 0.299 Pr
0.500 0.000 0.500 Pr
0.500 0.000 0.701 Pr
0.500 0.000 0.901 Pr
0.500 0.500 0.199 Nd
0.500 0.500 0.400 Nd
0.500 0.500 0.600 Nd
0.500 0.500 0.801 Nd
0.500 0.500 0.000 Dy
```

Values from the calculation:
Formation energy: 0.0125 eV per atom

Record 4
An optimized crystal structure of Li2MoRh. Source: the Alexandria database, functional PBE-GGA.

The structure in POSCAR format:
```
Li2MoRh
1.0
2.719 0.000 0.000
0.000 3.952 0.000
0.000 0.000 5.625
Li Mo Rh
2 1 1
Direct
0.000 0.000 0.000 Li
0.500 0.500 0.220 Li
0.000 0.000 0.527 Mo
0.500 0.500 0.710 Rh
```

Values from the calculation:
Formation energy: 0.1069 eV per atom
Energy above the most stable polymorph in this dataset: 67 meV per atom